SrNiPO4 | PBE with a Hubbard U | optimized geometry

Cell: 5.562 6.224 5.809 Å, 90.00 108.02 90.00°
Fractional positions:
1 Sr 0.240 0.250 0.495
2 Sr 0.760 0.750 0.505
3 Ni 0.417 0.250 0.081
4 Ni 0.583 0.750 0.919
5 P 0.205 0.750 0.116
6 P 0.795 0.250 0.884
7 O 0.055 0.250 0.838
8 O 0.182 0.750 0.842
9 O 0.362 0.550 0.246
10 O 0.362 0.950 0.246
11 O 0.638 0.050 0.754
12 O 0.638 0.450 0.754
13 O 0.818 0.250 0.158
14 O 0.945 0.750 0.162

electronic total energy: -0.46590 Ry per atom
Fermi-level density of states: 0.0 states/eV/f.u.
space-group type: P2_1/m, No. 11